Compound: KAlAg2
Source: Alexandria via LeMat-Bulk
Functional: PBEsol
Structure: optimized geometry

Space group: No. 166
DFT total energy: -2.7123 eV per atom
Formation enthalpy at 0 K: 249 meV per atom

Cell: 3.0650 3.0650 10.1155 Å, 81.29 81.29 60.00°
Last column: nearest neighbours and their distance in Å.
Sites, in units of the cell vectors:
K 0.0000 0.0000 0.0000  6 K 3.07, 6 Ag 3.40
Al 0.5000 0.5000 0.5000  6 Ag 2.73
Ag 0.2363 0.2363 0.2911  3 Al 2.73
Ag 0.7637 0.7637 0.7089  3 Al 2.73